Record 1
# TbGa3FeNi

A relaxed TbGa3FeNi crystal (PBE-GGA, Alexandria).

Results
Its density of states at the Fermi level is 5.81 states/eV/cell. The volume is 216.02 Å³ per cell. As for the space group: No. 63.

a = 5.574 Å, b = 7.569 Å, c = 6.367 Å
α = 126.47°, β = 90.00°, γ = 90.00°
Site moments in Bohr magnetons follow the coordinates.
Sites, in units of the cell vectors:
Tb 0.750 0.291 0.581  -0.04
Tb 0.250 0.709 0.419  -0.04
Ga 0.250 0.204 0.408  -0.01
Ga 0.000 0.257 0.000  -0.01
Ga 0.500 0.743 0.000  -0.01
Ga 0.500 0.257 0.000  -0.01
Ga 0.000 0.743 0.000  -0.01
Ga 0.750 0.796 0.592  -0.01
Fe 0.250 0.429 0.858  0.30
Fe 0.750 0.571 0.142  0.30
Ni 0.250 0.979 0.957  0.00
Ni 0.750 0.021 0.043  0.00

---

Record 2
# TmGa3FeNi

A relaxed TmGa3FeNi crystal (PBE-GGA, Alexandria).

Results
Its density of states at the Fermi level is 6.11 states/eV/cell. The volume is 211.62 Å³ per cell. As for the space group: No. 63.

a = 5.420 Å, b = 7.688 Å, c = 6.370 Å
α = 127.12°, β = 90.00°, γ = 90.00°
Sites, in units of the cell vectors:
Tm 0.750 0.299 0.597
Tm 0.250 0.701 0.403
Ga 0.250 0.196 0.393
Ga 0.000 0.257 0.000
Ga 0.500 0.743 0.000
Ga 0.500 0.257 0.000
Ga 0.000 0.743 0.000
Ga 0.750 0.804 0.607
Fe 0.250 0.425 0.850
Fe 0.750 0.575 0.150
Ni 0.250 0.966 0.933
Ni 0.750 0.034 0.067

---

Record 3
# Tm2GaFe2Ni5

A relaxed Tm2GaFe2Ni5 crystal (PBE-GGA, Alexandria).

Results
Its density of states at the Fermi level is 16.84 states/eV/cell. The volume is 287.93 Å³ per cell. As for the space group: No. 127.

a = 3.658 Å, b = 8.872 Å, c = 8.872 Å
α = 90.00°, β = 90.00°, γ = 90.00°
Site moments in Bohr magnetons follow the coordinates.
Sites, in units of the cell vectors:
Tm 0.000 0.679 0.179  -0.15
Tm 0.000 0.321 0.821  -0.15
Tm 0.000 0.179 0.321  -0.15
Tm 0.000 0.821 0.679  -0.15
Ga 0.000 0.000 0.000  0.01
Ga 0.000 0.500 0.500  0.01
Fe 0.000 0.119 0.619  2.34
Fe 0.000 0.881 0.381  2.34
Fe 0.000 0.619 0.881  2.34
Fe 0.000 0.381 0.119  2.34
Ni 0.500 0.208 0.061  0.31
Ni 0.500 0.792 0.939  0.31
Ni 0.500 0.061 0.792  0.31
Ni 0.500 0.708 0.439  0.31
Ni 0.500 0.939 0.208  0.31
Ni 0.500 0.292 0.561  0.31
Ni 0.500 0.561 0.708  0.31
Ni 0.500 0.439 0.292  0.31
Ni 0.500 0.500 0.000  0.48
Ni 0.500 0.000 0.500  0.48

---

Record 4
# UGaFeNi

A relaxed UGaFeNi crystal (PBE-GGA, Alexandria).

Results
Its density of states at the Fermi level is 6.20 states/eV/cell. The volume is 61.50 Å³ per cell. As for the space group: No. 216.

a = 4.431 Å, b = 4.431 Å, c = 4.431 Å
α = 60.00°, β = 60.00°, γ = 60.00°
Site moments in Bohr magnetons follow the coordinates.
Sites, in units of the cell vectors:
Ni 0.500 0.500 0.500  0.17
U 0.250 0.250 0.250  -1.63
Fe 0.000 0.000 0.000  1.10
Ga 0.750 0.750 0.750  -0.01

---

Record 5
# VGaFeNi

A relaxed VGaFeNi crystal (PBE-GGA, Alexandria).

Results
Its density of states at the Fermi level is 2.84 states/eV/cell. The volume is 47.86 Å³ per cell. As for the space group: No. 119.

a = 3.770 Å, b = 3.770 Å, c = 4.294 Å
α = 116.03°, β = 116.03°, γ = 90.00°
Sites, in units of the cell vectors:
V 0.000 0.000 0.000
Ga 0.500 0.500 0.000
Fe 0.250 0.750 0.500
Ni 0.750 0.250 0.500

---

Record 6
# VGaFeNi

A relaxed VGaFeNi crystal (PBE-GGA, Alexandria).

Results
Its density of states at the Fermi level is 2.70 states/eV/cell. The volume is 48.45 Å³ per cell. As for the space group: No. 216.

a = 4.092 Å, b = 4.092 Å, c = 4.092 Å
α = 60.00°, β = 60.00°, γ = 60.00°
Site moments in Bohr magnetons follow the coordinates.
Sites, in units of the cell vectors:
Ni 0.250 0.250 0.250  0.56
Fe 0.750 0.750 0.750  1.06
Ga 0.500 0.500 0.500  -0.01
V 0.000 0.000 0.000  0.23

---

no.,ΔE_f (kJ per mole of atoms),final energy (eV per atom)
1,-21.22,-4.8791
2,-20.66,-4.8468
3,-21.21,-6.0000
4,-10.11,-7.2445
5,-23.71,-6.8431
6,-22.72,-6.8328